(1)
Computed, not measured: crystalline Tm4Pb2Se at its relaxed geometry at the PBE level of DFT.

Unit cell a=6.7074 b=6.6598 c=9.4518 alpha=90.00 beta=110.58 gamma=90.00
Atoms (fractional coordinates):
1 Tm 0.9221 0.2500 0.5707
2 Tm 0.4841 0.9943 0.7448
3 Se 0.8340 0.2500 0.8353
4 Pb 0.2979 0.2500 0.4483
5 Pb 0.7021 0.7500 0.5517
6 Tm 0.4841 0.5057 0.7448
7 Se 0.1660 0.7500 0.1647
8 Tm 0.9145 0.2500 0.1405
9 Tm 0.0855 0.7500 0.8595
10 Pb 0.3214 0.2500 0.9575
11 Tm 0.5159 0.0057 0.2552
12 Pb 0.6786 0.7500 0.0425
13 Tm 0.0779 0.7500 0.4293
14 Tm 0.5159 0.4943 0.2552

Output
ΔE_f (raw) = -0.640 eV/atom

***

(2)
Computed, not measured: crystalline Tm6PbSe4 at its relaxed geometry at the PBE level of DFT.

Unit cell a=3.9693 b=6.9217 c=20.7306 alpha=90.00 beta=90.00 gamma=106.66
Atoms (fractional coordinates):
1 Se 0.8573 0.7145 0.5364
2 Tm 0.3604 0.7207 0.2500
3 Pb 0.3201 0.6401 0.7500
4 Tm 0.6396 0.2793 0.7500
5 Se 0.8573 0.7145 0.9636
6 Tm 0.0530 0.1061 0.3364
7 Se 0.5843 0.1686 0.6217
8 Tm 0.7703 0.5406 0.0942
9 Se 0.1427 0.2855 0.4636
10 Se 0.1427 0.2855 0.0364
11 Tm 0.9470 0.8939 0.6636
12 Pb 0.6799 0.3599 0.2500
13 Se 0.4157 0.8314 0.3783
14 Tm 0.5000 0.0000 0.0000
15 Se 0.4157 0.8314 0.1217
16 Tm 0.2297 0.4594 0.9058
17 Se 0.5843 0.1686 0.8783
18 Tm 0.2297 0.4594 0.5942
19 Tm 0.7703 0.5406 0.4058
20 Tm 0.0530 0.1061 0.1636
21 Tm 0.5000 0.0000 0.5000
22 Tm 0.9470 0.8939 0.8364

Output
ΔE_f (raw) = -1.310 eV/atom

***

(3)
Computed, not measured: crystalline Tm4PbSe2 at its relaxed geometry at the PBE level of DFT.

Unit cell a=3.8492 b=3.8492 c=14.5033 alpha=82.37 beta=82.37 gamma=60.00
Last column: magnetic moment on the atom in μB.
Atoms (fractional coordinates):
1 Tm 0.8646 0.8646 0.4061  0.10
2 Tm 0.1354 0.1354 0.5939  0.10
3 Se 0.5741 0.5741 0.2778  0.00
4 Tm 0.2801 0.2801 0.1596  -0.01
5 Tm 0.7199 0.7199 0.8404  -0.01
6 Se 0.4259 0.4259 0.7222  0.00
7 Pb 0.0000 0.0000 0.0000  0.01

Output
ΔE_f (raw) = -1.055 eV/atom

***

(4)
Computed, not measured: crystalline Tm5Pb4Se at its relaxed geometry at the PBE level of DFT.

Unit cell a=3.7039 b=6.2043 c=12.8528 alpha=103.97 beta=98.28 gamma=90.00
Atoms (fractional coordinates):
1 Tm 0.7961 0.2961 0.5922
2 Tm 0.5873 0.0873 0.1746
3 Se 0.0000 0.0000 0.0000
4 Pb 0.6004 0.6004 0.2007
5 Pb 0.3996 0.3996 0.7993
6 Tm 0.0000 0.5000 0.0000
7 Pb 0.8073 0.8073 0.6145
8 Tm 0.4127 0.9127 0.8254
9 Pb 0.1927 0.1927 0.3855
10 Tm 0.2039 0.7039 0.4078

Output
ΔE_f (raw) = -0.609 eV/atom

***

(5)
Computed, not measured: crystalline Tm4PbSe2 at its relaxed geometry at the PBE level of DFT.

Unit cell a=4.1694 b=6.8022 c=13.5219 alpha=90.00 beta=90.00 gamma=107.85
Atoms (fractional coordinates):
1 Pb 0.6065 0.2130 0.7500
2 Se 0.8650 0.7300 0.5568
3 Se 0.1350 0.2700 0.0568
4 Tm 0.0667 0.1335 0.2500
5 Se 0.1350 0.2700 0.4432
6 Pb 0.3935 0.7870 0.2500
7 Tm 0.7667 0.5334 0.3756
8 Tm 0.2333 0.4666 0.6244
9 Tm 0.2333 0.4666 0.8756
10 Tm 0.5000 0.0000 0.5000
11 Se 0.8650 0.7300 0.9432
12 Tm 0.5000 0.0000 0.0000
13 Tm 0.9333 0.8665 0.7500
14 Tm 0.7667 0.5334 0.1244

Output
ΔE_f (raw) = -1.101 eV/atom

***

(6)
Computed, not measured: crystalline Tm6Pb3Se at its relaxed geometry at the PBE level of DFT.

Unit cell a=7.2331 b=9.3273 c=9.3273 alpha=100.75 beta=90.00 gamma=90.00
Last column: magnetic moment on the atom in μB.
Atoms (fractional coordinates):
1 Tm 0.1812 0.3862 0.2980  0.30
2 Tm 0.1888 0.0887 0.5795  0.18
3 Pb 0.4997 0.2832 0.0818  0.00
4 Pb 0.8529 0.6026 0.3974  0.00
5 Tm 0.6812 0.6138 0.7020  0.30
6 Tm 0.6812 0.2980 0.3862  0.30
7 Se 0.9903 0.1556 0.8444  0.00
8 Tm 0.7565 0.9908 0.0092  0.07
9 Tm 0.6888 0.5795 0.0887  0.18
10 Tm 0.1888 0.4205 0.9113  0.18
11 Tm 0.6462 0.2409 0.7591  0.25
12 Tm 0.2565 0.0092 0.9908  0.07
13 Tm 0.6888 0.9113 0.4205  0.18
14 Pb 0.9997 0.7168 0.9182  0.00
15 Tm 0.1812 0.7020 0.6138  0.30
16 Pb 0.9997 0.0818 0.2832  0.00
17 Pb 0.3529 0.3974 0.6026  0.00
18 Tm 0.1462 0.7591 0.2409  0.25
19 Se 0.4903 0.8444 0.1556  0.00
20 Pb 0.4997 0.9182 0.7168  0.00

Output
ΔE_f (raw) = -0.472 eV/atom

***

(7)
Computed, not measured: crystalline Tm3PbSe at its relaxed geometry at the PBE level of DFT.

Unit cell a=6.6060 b=8.9919 c=10.7468 alpha=118.04 beta=90.00 gamma=90.00
Atoms (fractional coordinates):
1 Tm 0.0998 0.7170 0.6729
2 Tm 0.6703 0.9264 0.3262
3 Tm 0.1703 0.5736 0.1738
4 Tm 0.9002 0.2830 0.3271
5 Tm 0.9210 0.1676 0.9677
6 Tm 0.8297 0.4264 0.8262
7 Tm 0.4210 0.3324 0.5323
8 Tm 0.4002 0.2170 0.1729
9 Tm 0.3297 0.0736 0.6738
10 Tm 0.5790 0.6676 0.4677
11 Se 0.2225 0.4974 0.4003
12 Se 0.7775 0.5026 0.5997
13 Pb 0.8163 0.0033 0.6472
14 Pb 0.1837 0.9967 0.3528
15 Pb 0.3163 0.4967 0.8528
16 Tm 0.0790 0.8324 0.0323
17 Se 0.7225 0.0026 0.0997
18 Pb 0.6837 0.5033 0.1472
19 Tm 0.5998 0.7830 0.8271
20 Se 0.2775 0.9974 0.9003

Output
ΔE_f (raw) = -0.750 eV/atom

***

(8)
Computed, not measured: crystalline Tm8PbSe6 at its relaxed geometry at the PBE level of DFT.

Unit cell a=3.9611 b=10.4809 c=10.4809 alpha=120.00 beta=90.00 gamma=90.00
Atoms (fractional coordinates):
1 Se 0.7489 0.6478 0.1319
2 Tm 0.7490 0.7128 0.6756
3 Tm 0.7490 0.3244 0.0372
4 Tm 0.2510 0.6756 0.9628
5 Se 0.2511 0.5159 0.6478
6 Tm 0.2510 0.0372 0.7128
7 Tm 0.7490 0.9628 0.2872
8 Se 0.7489 0.8681 0.5159
9 Se 0.2511 0.1319 0.4841
10 Tm 0.2510 0.2872 0.3244
11 Pb 0.5000 0.0000 0.0000
12 Tm 0.2513 0.6667 0.3333
13 Se 0.7489 0.4841 0.3522
14 Tm 0.7487 0.3333 0.6667
15 Se 0.2511 0.3522 0.8681

Output
ΔE_f (raw) = -1.246 eV/atom

***

(9)
Computed, not measured: crystalline U6PbSe8 at its relaxed geometry at the PBE level of DFT.

Unit cell a=7.7137 b=7.7137 c=7.7137 alpha=68.49 beta=68.49 gamma=68.49
Last column: magnetic moment on the atom in μB.
Atoms (fractional coordinates):
1 Se 0.3326 0.3326 0.3326  -0.08
2 U 0.0670 0.4182 0.7198  2.61
3 U 0.9330 0.5818 0.2802  2.61
4 Pb 0.0000 0.0000 0.0000  -0.02
5 Se 0.7795 0.4213 0.1051  -0.07
6 Se 0.5787 0.8949 0.2205  -0.07
7 U 0.5818 0.2802 0.9330  2.61
8 Se 0.2205 0.5787 0.8949  -0.07
9 U 0.2802 0.9330 0.5818  2.61
10 U 0.7198 0.0670 0.4182  2.61
11 Se 0.6674 0.6674 0.6674  -0.08
12 Se 0.8949 0.2205 0.5787  -0.07
13 U 0.4182 0.7198 0.0670  2.61
14 Se 0.4213 0.1051 0.7795  -0.07
15 Se 0.1051 0.7795 0.4213  -0.07

Output
ΔE_f (raw) = -0.856 eV/atom

***

(10)
Computed, not measured: crystalline U2Pb3Se8 at its relaxed geometry at the PBE level of DFT.

Unit cell a=7.1718 b=8.5121 c=8.5121 alpha=59.52 beta=74.12 gamma=74.12
Last column: magnetic moment on the atom in μB.
Atoms (fractional coordinates):
1 Pb 0.0000 0.2562 0.7438  -0.01
2 Pb 0.5000 0.0000 0.0000  -0.01
3 U 0.0200 0.7465 0.7465  1.29
4 Pb 0.0000 0.7438 0.2562  -0.01
5 Se 0.7555 0.1372 0.1372  -0.06
6 Se 0.2276 0.3797 0.9067  -0.05
7 Se 0.2276 0.9067 0.3797  -0.05
8 U 0.9800 0.2535 0.2535  1.29
9 Se 0.2445 0.8628 0.8628  -0.06
10 Se 0.7816 0.6404 0.6404  -0.07
11 Se 0.2184 0.3596 0.3596  -0.07
12 Se 0.7724 0.0933 0.6203  -0.05
13 Se 0.7724 0.6203 0.0933  -0.05

Output
ΔE_f (raw) = -0.768 eV/atom

***

(11)
Computed, not measured: crystalline UPbSe3 at its relaxed geometry at the PBE level of DFT.

Unit cell a=5.4690 b=7.2520 c=8.9006 alpha=100.60 beta=90.00 gamma=112.15
Last column: magnetic moment on the atom in μB.
Atoms (fractional coordinates):
1 U 0.8659 0.7317 0.0877  2.09
2 Se 0.9242 0.8483 0.7978  -0.07
3 Se 0.0758 0.1517 0.2022  -0.07
4 Pb 0.3723 0.7445 0.6134  0.00
5 Se 0.8362 0.6724 0.3943  -0.04
6 U 0.1341 0.2683 0.9123  2.09
7 Se 0.6567 0.3135 0.9397  -0.07
8 Se 0.1638 0.3276 0.6057  -0.04
9 Pb 0.6277 0.2555 0.3866  0.00
10 Se 0.3433 0.6865 0.0603  -0.07

Output
ΔE_f (raw) = -0.802 eV/atom

***

(12)
Computed, not measured: crystalline U2Pb4Se9 at its relaxed geometry at the PBE level of DFT.

Unit cell a=7.4640 b=7.4640 c=19.9555 alpha=90.00 beta=90.00 gamma=60.00
Last column: magnetic moment on the atom in μB.
Atoms (fractional coordinates):
1 Se 0.7211 0.0001 0.7501  -0.06
2 Se 0.7012 0.9687 0.4145  -0.04
3 Pb 0.6671 0.6666 0.8228  -0.01
4 Se 0.7017 0.3300 0.9146  -0.04
5 U 0.9998 0.0000 0.1555  1.31
6 Se 0.3303 0.9684 0.9146  -0.04
7 U 0.0003 0.9999 0.6556  1.31
8 Se 0.0314 0.2984 0.0854  -0.04
9 Se 0.2983 0.6700 0.0854  -0.04
10 Pb 0.6663 0.6666 0.3228  -0.01
11 Pb 0.3337 0.3334 0.6772  -0.01
12 Se 0.7207 0.2791 0.2500  -0.06
13 Se 0.9685 0.3299 0.4146  -0.04
14 Se 0.6697 0.0316 0.0854  -0.04
15 Se 0.6704 0.2984 0.5854  -0.04
16 Pb 0.6668 0.6666 0.5208  -0.01
17 Se 0.2789 0.9999 0.2499  -0.06
18 U 0.0002 0.0000 0.8445  1.31
19 Se 0.9995 0.7211 0.2500  -0.06
20 Pb 0.3334 0.3333 0.9792  -0.01
21 Pb 0.6666 0.6667 0.0208  -0.01
22 Se 0.2988 0.0313 0.5855  -0.04
23 Se 0.3296 0.7016 0.4146  -0.04
24 U 0.9997 0.0001 0.3444  1.31
25 Se 0.0315 0.6701 0.5854  -0.04
26 Se 0.0005 0.2789 0.7500  -0.06
27 Se 0.2793 0.7209 0.7500  -0.06
28 Se 0.9686 0.7016 0.9146  -0.04
29 Pb 0.3329 0.3334 0.1772  -0.01
30 Pb 0.3332 0.3334 0.4792  -0.01

Output
ΔE_f (raw) = -0.749 eV/atom